VASP calculation (GGA-PBE) on a relaxed PrTm8Mg6 crystal.

Summary:
DFT total energy (eV/atom): -3.234
Magnetization (μB/f.u.): 0.00
Energy of formation from the pure elements (eV/atom): 0.107
Crystal system: trigonal
D(E_F) (states/eV/cell): 58.79

Cell lengths 8.3631, 8.3631, 21.2290 Å; angles 90.00, 90.00, 120.00 degrees
Space group R-3 (No. 148, hexagonal axes)
Symmetry-distinct sites (fractional):
Pr: 0.0000 0.0000 0.0000 [3 per cell]
Tm: 0.0000 0.0000 0.4199 [6 per cell]
Tm: 0.0495 0.2566 0.1338 [18 per cell]
Mg: 0.0044 0.2310 0.2878 [18 per cell]